Record 1
A plane-wave DFT calculation with PBE was carried out for a geometry-optimized AgRhC3 structure.

Calculated values
Magnetic moment, μB/cell: 0.00
E above lowest polymorph, meV per atom: 0
Electronic total energy, eV per atom: -5.1993

abc: 4.0233 4.0233 4.0233
angles: 90.00 90.00 90.00
Closest atoms and distances in Å follow each position.
Fractional positions:
Ag (0.0000, 0.0000, 0.0000)  12 C 2.84
Rh (0.5000, 0.5000, 0.5000)  6 C 2.01
C (0.0000, 0.5000, 0.5000)  2 Rh 2.01
C (0.5000, 0.0000, 0.5000)  2 Rh 2.01
C (0.5000, 0.5000, 0.0000)  2 Rh 2.01

Record 2
A plane-wave DFT calculation with PBE was carried out for a geometry-optimized SbMoHI2 structure.

Calculated values
Magnetic moment, μB/cell: 4.14
E above lowest polymorph, meV per atom: 158
Electronic total energy, eV per atom: -3.3137

abc: 5.5976 5.5976 3.9334
angles: 90.00 90.00 90.00
Closest atoms and distances in Å follow each position.
Fractional positions:
Sb (0.0000, 0.0000, 0.0000)  2 H 1.97
Mo (0.5000, 0.5000, 0.0000)  8 I 3.42
H (0.0000, 0.0000, 0.5000)  2 Sb 1.97
I (0.0000, 0.5000, 0.5000)  2 H 2.80
I (0.5000, 0.0000, 0.5000)  2 H 2.80

Please write out number 2 again, unchanged.
A plane-wave DFT calculation with PBE was carried out for a geometry-optimized SbMoHI2 structure.

Calculated values
Magnetic moment, μB/cell: 4.14
E above lowest polymorph, meV per atom: 158
Electronic total energy, eV per atom: -3.3137

abc: 5.5976 5.5976 3.9334
angles: 90.00 90.00 90.00
Closest atoms and distances in Å follow each position.
Fractional positions:
Sb (0.0000, 0.0000, 0.0000)  2 H 1.97
Mo (0.5000, 0.5000, 0.0000)  8 I 3.42
H (0.0000, 0.0000, 0.5000)  2 Sb 1.97
I (0.0000, 0.5000, 0.5000)  2 H 2.80
I (0.5000, 0.0000, 0.5000)  2 H 2.80